CuPW2 after structural relaxation, computed with GGA-PBE.

The calculation puts the formation energy at 411 meV/atom. For the electronic total energy, the calculation gives -67.538 eV for the cell shown. The calculation puts the density of states at the Fermi level at 0.5065 states/eV/atom.

The space group is Cmmm (No. 65) and the conventional cell measures 3.2778, 4.4944 and 7.8622 Å, with angles of 90.00, 90.00 and 90.00 degrees. Symmetry generates all atoms from Cu at (0.0000, 0.0000, 0.0000), P at (0.0000, 0.0000, 0.5000) and W at (0.0000, 0.5000, 0.2679).


Cu2PW after structural relaxation, computed with GGA-PBE.

The calculation puts the formation energy at 62 meV/atom. For the electronic total energy, the calculation gives -26.308 eV for the cell shown. The calculation puts the density of states at the Fermi level at 0.4798 states/eV/atom.

The space group is Pm (No. 6) and the conventional cell measures 3.1026, 3.1033 and 5.5104 Å, with angles of 90.00, 90.59 and 90.00 degrees. Symmetry generates all atoms from Cu at (0.0000, 0.0000, 0.0000), Cu at (0.4953, 0.5000, 0.7920), P at (0.4842, 0.5000, 0.2765) and W at (0.9886, 0.0000, 0.4915).


CuPW2 after structural relaxation, computed with GGA-PBE.

The calculation puts the formation energy at 249 meV/atom. For the electronic total energy, the calculation gives -68.832 eV for the cell shown. The calculation puts the density of states at the Fermi level at 0.5547 states/eV/atom.

The space group is Immm (No. 71) and the conventional cell measures 3.1385, 4.4722 and 8.2583 Å, with angles of 90.00, 90.00 and 90.00 degrees. Symmetry generates all atoms from Cu at (0.0000, 0.0000, 0.0000), P at (0.0000, 0.0000, 0.5000) and W at (0.0000, 0.5000, 0.2243).


Cu2PW after structural relaxation, computed with GGA-PBE.

The calculation puts the formation energy at 218 meV/atom. For the electronic total energy, the calculation gives -25.682 eV for the cell shown. The calculation puts the density of states at the Fermi level at 0.6495 states/eV/atom.

The space group is P2/m (No. 10) and the conventional cell measures 2.6986, 4.2687 and 4.8004 Å, with angles of 90.00, 104.86 and 90.00 degrees. Symmetry generates all atoms from Cu at (0.1052, 0.0000, 0.2588), P at (0.0000, 0.5000, 0.5000) and W at (0.5000, 0.5000, 0.0000).


CuPW after structural relaxation, computed with GGA-PBE.

The calculation puts the formation energy at 262 meV/atom. For the electronic total energy, the calculation gives -21.672 eV for the cell shown. The calculation puts the density of states at the Fermi level at 0.6556 states/eV/atom.

The space group is P3m1 (No. 156) and the conventional cell measures 4.1468, 4.1468 and 2.8524 Å, with angles of 90.00, 90.00 and 120.00 degrees. Symmetry generates all atoms from Cu at (0.0000, 0.0000, 0.0000), P at (0.3333, 0.6667, 0.4069) and W at (0.6667, 0.3333, 0.4889).


CuPW2 after structural relaxation, computed with GGA-PBE.

The calculation puts the formation energy at 218 meV/atom. For the electronic total energy, the calculation gives -34.540 eV for the cell shown. The calculation puts the density of states at the Fermi level at 0.4862 states/eV/atom.

The space group is Pm (No. 6) and the conventional cell measures 2.8963, 4.1335 and 4.8542 Å, with angles of 90.00, 104.66 and 90.00 degrees. Symmetry generates all atoms from Cu at (0.0000, 0.0000, 0.0000), P at (0.1216, 0.5000, 0.2380), W at (0.4116, 0.5000, 0.7727) and W at (0.6630, 0.0000, 0.4713).


Cu2PW after structural relaxation, computed with GGA-PBE.

The calculation puts the formation energy at 277 meV/atom. For the electronic total energy, the calculation gives -50.891 eV for the cell shown. The calculation puts the density of states at the Fermi level at 0.4711 states/eV/atom.

The space group is I4/mmm (No. 139) and the conventional cell measures 3.4802, 3.4802 and 8.8196 Å, with angles of 90.00, 90.00 and 90.00 degrees. Symmetry generates all atoms from Cu at (0.0000, 0.5000, 0.2500), P at (0.0000, 0.0000, 0.0000) and W at (0.0000, 0.0000, 0.5000).


CuP2W after structural relaxation, computed with GGA-PBE.

The calculation puts the formation energy at 4 meV/atom. For the electronic total energy, the calculation gives -27.853 eV for the cell shown. The calculation puts the density of states at the Fermi level at 0.4437 states/eV/atom.

The space group is P4/mmm (No. 123) and the conventional cell measures 3.1209, 3.1209 and 5.6655 Å, with angles of 90.00, 90.00 and 90.00 degrees. Symmetry generates all atoms from Cu at (0.0000, 0.0000, 0.0000), P at (0.5000, 0.5000, 0.2638) and W at (0.0000, 0.0000, 0.5000).


CuP4W after structural relaxation, computed with GGA-PBE.

The calculation puts the formation energy at -54 meV/atom. For the electronic total energy, the calculation gives -78.031 eV for the cell shown. The calculation puts the density of states at the Fermi level at 0.3729 states/eV/atom.

The space group is P-1 (No. 2) and the conventional cell measures 5.6643, 5.9500 and 6.0021 Å, with angles of 90.77, 110.94 and 91.16 degrees. Symmetry generates all atoms from Cu at (0.1439, 0.3121, 0.3222), P at (0.0120, 0.3460, 0.6301), P at (0.1474, 0.9254, 0.9376), P at (0.3744, 0.8208, 0.5271), P at (0.4435, 0.4080, 0.1672) and W at (0.4248, 0.1778, 0.8008).


Cu2PW after structural relaxation, computed with GGA-PBE.

The calculation puts the formation energy at 333 meV/atom. For the electronic total energy, the calculation gives -25.223 eV for the cell shown. The calculation puts the density of states at the Fermi level at 0.4039 states/eV/atom.

The space group is P4/mmm (No. 123) and the conventional cell measures 2.6740, 2.6740 and 7.7051 Å, with angles of 90.00, 90.00 and 90.00 degrees. Symmetry generates all atoms from Cu at (0.0000, 0.0000, 0.2380), P at (0.5000, 0.5000, 0.0000) and W at (0.5000, 0.5000, 0.5000).


CuP4W after structural relaxation, computed with GGA-PBE.

The calculation puts the formation energy at -63 meV/atom. For the electronic total energy, the calculation gives -78.131 eV for the cell shown. The calculation puts the density of states at the Fermi level at 0.3527 states/eV/atom.

The space group is P2/c (No. 13) and the conventional cell measures 5.2368, 6.6257 and 5.5612 Å, with angles of 90.00, 90.27 and 90.00 degrees. Symmetry generates all atoms from Cu at (0.0000, 0.1184, 0.2500), P at (0.1679, 0.4080, 0.0480), P at (0.3354, 0.0907, 0.5650) and W at (0.5000, 0.4041, 0.7500).


Cu2PW after structural relaxation, computed with GGA-PBE.

The calculation puts the formation energy at 328 meV/atom. For the electronic total energy, the calculation gives -50.486 eV for the cell shown. The calculation puts the density of states at the Fermi level at 0.4433 states/eV/atom.

The space group is Cmmm (No. 65) and the conventional cell measures 3.4867, 4.0104 and 7.8766 Å, with angles of 90.00, 90.00 and 90.00 degrees. Symmetry generates all atoms from Cu at (0.0000, 0.0000, 0.2383), P at (0.0000, 0.5000, 0.0000) and W at (0.0000, 0.5000, 0.5000).


CuP2W after structural relaxation, computed with GGA-PBE.

The calculation puts the formation energy at 299 meV/atom. For the electronic total energy, the calculation gives -106.687 eV for the cell shown. The calculation puts the density of states at the Fermi level at 0.5503 states/eV/atom.

The space group is Fm-3m (No. 225) and the conventional cell measures 6.0305, 6.0305 and 6.0305 Å, with angles of 90.00, 90.00 and 90.00 degrees. Symmetry generates all atoms from Cu at (0.0000, 0.0000, 0.0000), P at (0.2500, 0.2500, 0.2500) and W at (0.0000, 0.0000, 0.5000).


CuP4W after structural relaxation, computed with GGA-PBE.

The calculation puts the formation energy at 844 meV/atom. For the electronic total energy, the calculation gives -134.496 eV for the cell shown. The calculation puts the density of states at the Fermi level at 0.5973 states/eV/atom.

The space group is F-43m (No. 216) and the conventional cell measures 6.9385, 6.9385 and 6.9385 Å, with angles of 90.00, 90.00 and 90.00 degrees. Symmetry generates all atoms from Cu at (0.0000, 0.0000, 0.0000), P at (0.1240, 0.1240, 0.6240) and W at (0.2500, 0.2500, 0.2500).


CuPW2 after structural relaxation, computed with GGA-PBE.

The calculation puts the formation energy at 179 meV/atom. For the electronic total energy, the calculation gives -69.397 eV for the cell shown. The calculation puts the density of states at the Fermi level at 0.3274 states/eV/atom.

The space group is Cm (No. 8) and the conventional cell measures 9.1702, 2.9055 and 4.4157 Å, with angles of 90.00, 108.09 and 90.00 degrees. Symmetry generates all atoms from Cu at (0.0000, 0.0000, 0.0000), P at (0.2770, 0.0000, 0.6877), W at (0.0459, 0.5000, 0.5313) and W at (0.2518, 0.5000, 0.1712).


Cu2PW after structural relaxation, computed with GGA-PBE.

The calculation puts the formation energy at 293 meV/atom. For the electronic total energy, the calculation gives -101.540 eV for the cell shown. The calculation puts the density of states at the Fermi level at 0.4516 states/eV/atom.

The space group is F-43m (No. 216) and the conventional cell measures 5.9306, 5.9306 and 5.9306 Å, with angles of 90.00, 90.00 and 90.00 degrees. Symmetry generates all atoms from Cu at (0.0000, 0.0000, 0.0000), Cu at (0.2500, 0.2500, 0.2500), P at (0.0000, 0.0000, 0.5000) and W at (0.2500, 0.2500, 0.7500).


CuPW2 after structural relaxation, computed with GGA-PBE.

The calculation puts the formation energy at 401 meV/atom. For the electronic total energy, the calculation gives -33.809 eV for the cell shown. The calculation puts the density of states at the Fermi level at 0.4710 states/eV/atom.

The space group is Pmmm (No. 47) and the conventional cell measures 3.2205, 4.0496 and 4.4136 Å, with angles of 90.00, 90.00 and 90.00 degrees. Symmetry generates all atoms from Cu at (0.0000, 0.0000, 0.0000), P at (0.5000, 0.0000, 0.5000), W at (0.0000, 0.5000, 0.5000) and W at (0.5000, 0.5000, 0.0000).


CuP2W after structural relaxation, computed with GGA-PBE.

The calculation puts the formation energy at 686 meV/atom. For the electronic total energy, the calculation gives -100.504 eV for the cell shown. The calculation puts the density of states at the Fermi level at 1.0408 states/eV/atom.

The space group is F-43m (No. 216) and the conventional cell measures 6.0584, 6.0584 and 6.0584 Å, with angles of 90.00, 90.00 and 90.00 degrees. Symmetry generates all atoms from Cu at (0.0000, 0.0000, 0.0000), P at (0.0000, 0.0000, 0.5000), P at (0.2500, 0.2500, 0.7500) and W at (0.2500, 0.2500, 0.2500).


CuPW2 after structural relaxation, computed with GGA-PBE.

The calculation puts the formation energy at 262 meV/atom. For the electronic total energy, the calculation gives -34.364 eV for the cell shown. The calculation puts the density of states at the Fermi level at 1.0022 states/eV/atom.

The space group is P4mm (No. 99) and the conventional cell measures 2.9406, 2.9406 and 6.6588 Å, with angles of 90.00, 90.00 and 90.00 degrees. Symmetry generates all atoms from Cu at (0.0000, 0.0000, 0.0000), P at (0.5000, 0.5000, 0.2258), W at (0.0000, 0.0000, 0.4285) and W at (0.5000, 0.5000, 0.7366).


CuP2W after structural relaxation, computed with GGA-PBE.

The calculation puts the formation energy at 220 meV/atom. For the electronic total energy, the calculation gives -107.949 eV for the cell shown. The calculation puts the density of states at the Fermi level at 0.6096 states/eV/atom.

The space group is I-42d (No. 122) and the conventional cell measures 5.4247, 5.4247 and 10.4568 Å, with angles of 90.00, 90.00 and 90.00 degrees. Symmetry generates all atoms from Cu at (0.0000, 0.0000, 0.0000), P at (0.2456, 0.2500, 0.1250) and W at (0.0000, 0.0000, 0.5000).